Record 1
This record from the Alexandria database describes a geometry-optimized Tb8Ga3Te3S structure. The functional is PBE-GGA.

Output
* raw formation energy: -969 meV/atom
* calculated total energy: -4.9472 eV per atom
* density of states at the Fermi level: 10.42 states/eV per cell
* magnetic moment: 0.02 μB per atom
* ρ: 7.3 g/cm3

a = 8.286 Å, b = 8.302 Å, c = 8.652 Å
α = 118.78°, β = 90.00°, γ = 119.94°
Element x y z (fractional)
Tb: 0.256 0.511 0.267
Tb: 0.744 0.489 0.733
Tb: 0.760 0.520 0.276
Tb: 0.240 0.480 0.724
Tb: 0.759 0.017 0.276
Tb: 0.241 0.983 0.724
Tb: 0.257 0.017 0.276
Tb: 0.743 0.983 0.724
Ga: 0.500 0.000 0.500
Ga: 0.500 0.500 0.500
Ga: 0.000 0.500 0.500
Te: 0.000 0.000 0.000
Te: 0.000 0.500 0.000
Te: 0.500 0.500 0.000
S: 0.000 0.000 0.500

---

Record 2
This record from the Alexandria database describes a geometry-optimized BeZnIn structure. The functional is PBE-GGA.

Output
* calculated total energy: -2.2129 eV per atom
* density of states at the Fermi level: 0.93 states/eV per cell
* magnetic moment: 0.00 μB per atom
* ρ: 6.2 g/cm3
* formation enthalpy at 0 K: 0.3667 eV per atom

a = 6.269 Å, b = 6.269 Å, c = 6.269 Å
α = 153.01°, β = 153.01°, γ = 38.53°
Element x y z (fractional)
Be: 0.022 0.022 0.000
Zn: 0.632 0.632 0.000
In: 0.346 0.346 0.000

---

Record 3
This record from the Alexandria database describes a geometry-optimized ScZnIrPb2 structure. The functional is PBE-GGA.

Output
* calculated total energy: -4.5710 eV per atom
* density of states at the Fermi level: 3.64 states/eV per cell
* magnetic moment: 0.00 μB per atom
* ρ: 8.4 g/cm3
* formation enthalpy at 0 K: 0.2057 eV per atom

a = 5.295 Å, b = 5.030 Å, c = 5.295 Å
α = 90.00°, β = 90.00°, γ = 90.00°
Element x y z (fractional)
Pb: 0.000 0.000 0.500
Pb: 0.500 0.000 0.000
Sc: 0.000 0.500 0.000
Zn: 0.500 0.500 0.500
Ir: 0.000 0.000 0.000

---

Record 4
This record from the Alexandria database describes a geometry-optimized Mn2NiHgN structure. The functional is PBE-GGA.

Output
* raw formation energy: -50 meV/atom
* calculated total energy: -6.5998 eV per atom
* density of states at the Fermi level: 3.92 states/eV per cell
* magnetic moment: 1.28 μB per atom
* ρ: 10.1 g/cm3

a = 4.002 Å, b = 4.002 Å, c = 3.947 Å
α = 90.00°, β = 90.00°, γ = 90.00°
Site moments in Bohr magnetons follow the coordinates.
Element x y z (fractional)
Ni: 0.000 0.000 0.500  0.09
Mn: 0.000 0.500 0.000  3.14
Mn: 0.500 0.000 0.000  3.14
Hg: 0.500 0.500 0.500  -0.07
N: 0.000 0.000 0.000  -0.06

---

Record 5
This record from the Alexandria database describes a geometry-optimized TaReW structure. The functional is PBE-GGA.

Output
* calculated total energy: -12.5482 eV per atom
* density of states at the Fermi level: 1.36 states/eV per cell
* magnetic moment: 0.00 μB per atom
* ρ: 18.7 g/cm3
* formation enthalpy at 0 K: -0.1302 eV per atom

a = 4.505 Å, b = 4.505 Å, c = 2.782 Å
α = 90.00°, β = 90.00°, γ = 120.00°
Element x y z (fractional)
Re: 0.000 0.000 0.995
Ta: 0.333 0.667 0.330
W: 0.667 0.333 0.676

---

Record 6
This record from the Alexandria database describes a geometry-optimized Ca4FeRh structure. The functional is PBE-GGA.

Output
* calculated total energy: -3.0102 eV per atom
* density of states at the Fermi level: 10.17 states/eV per cell
* magnetic moment: 0.36 μB per atom
* ρ: 3.2 g/cm3
* formation enthalpy at 0 K: 0.9599 eV per atom

a = 6.153 Å, b = 6.153 Å, c = 6.153 Å
α = 60.00°, β = 60.00°, γ = 60.00°
Site moments in Bohr magnetons follow the coordinates.
Element x y z (fractional)
Ca: 0.875 0.375 0.375  -0.09
Ca: 0.375 0.375 0.875  -0.09
Ca: 0.375 0.875 0.375  -0.09
Ca: 0.375 0.375 0.375  -0.09
Fe: 0.750 0.750 0.750  3.06
Rh: 0.000 0.000 0.000  0.10

---

Record 7
This record from the Alexandria database describes a geometry-optimized GaIN2 structure. The functional is PBE-GGA.

Output
* raw formation energy: 1416 meV/atom
* calculated total energy: -3.8912 eV per atom
* density of states at the Fermi level: 1.21 states/eV per cell
* magnetic moment: 0.00 μB per atom
* ρ: 5.0 g/cm3

a = 5.924 Å, b = 5.924 Å, c = 5.924 Å
α = 39.31°, β = 39.31°, γ = 39.31°
Element x y z (fractional)
I: 0.500 0.500 0.500
Ga: 0.000 0.000 0.000
N: 0.889 0.889 0.889
N: 0.111 0.111 0.111

---

Record 8
This record from the Alexandria database describes a geometry-optimized CsYBr3 structure. The functional is PBE-GGA.

Output
* raw formation energy: -297 meV/atom
* calculated total energy: -2.7639 eV per atom
* density of states at the Fermi level: 15.57 states/eV per cell
* magnetic moment: 0.20 μB per atom
* ρ: 3.0 g/cm3

a = 6.366 Å, b = 6.366 Å, c = 6.366 Å
α = 90.00°, β = 90.00°, γ = 90.00°
Site moments in Bohr magnetons follow the coordinates.
Element x y z (fractional)
Cs: 0.000 0.000 0.000  0.00
Y: 0.500 0.500 0.500  0.70
Br: 0.000 0.500 0.000  -0.02
Br: 0.000 0.000 0.500  -0.02
Br: 0.500 0.000 0.000  -0.01